Here is a relaxed structure of Er2ZnSn from the Alexandria database. Energies are from GGA-PBE.

Results
crystal system: tetragonal
magnetization: 0.00 μB per formula unit
calculated volume: 24.14 A^3/atom
calculated formation energy: -0.48 eV/atom

abc: 4.934 4.934 3.966
angles: 90.00 90.00 90.00
Sites, in units of the cell vectors:
Er1 0.000 0.500 0.000
Er2 0.500 0.000 0.000
Zn1 0.000 0.000 0.500
Sn1 0.500 0.500 0.500

Here is a relaxed structure of Er2ZnSn3 from the Alexandria database. Energies are from GGA-PBE.

Results
crystal system: orthorhombic
magnetization: 0.00 μB per formula unit
calculated volume: 27.66 A^3/atom
calculated formation energy: -0.20 eV/atom

abc: 7.794 7.794 5.881
angles: 90.00 90.00 68.32
Sites, in units of the cell vectors:
Er1 0.036 0.663 0.750
Er2 0.337 0.964 0.750
Er3 0.663 0.036 0.250
Er4 0.964 0.337 0.250
Zn1 0.391 0.609 0.250
Zn2 0.609 0.391 0.750
Sn1 0.087 0.913 0.250
Sn2 0.325 0.325 0.000
Sn3 0.325 0.325 0.500
Sn4 0.675 0.675 0.000
Sn5 0.675 0.675 0.500
Sn6 0.913 0.087 0.750

Here is a relaxed structure of ErZnSn from the Alexandria database. Energies are from GGA-PBE.

Results
crystal system: trigonal
magnetization: 0.00 μB per formula unit
calculated volume: 26.45 A^3/atom
calculated formation energy: -0.07 eV/atom

abc: 10.565 10.565 10.565
angles: 23.05 23.05 23.05
Sites, in units of the cell vectors:
Er1 0.089 0.089 0.089
Er2 0.911 0.911 0.911
Zn1 0.186 0.186 0.186
Zn2 0.814 0.814 0.814
Sn1 0.358 0.358 0.358
Sn2 0.642 0.642 0.642

Here is a relaxed structure of Er4Zn3Sn from the Alexandria database. Energies are from GGA-PBE.

Results
crystal system: trigonal
magnetization: 0.00 μB per formula unit
calculated volume: 23.13 A^3/atom
calculated formation energy: -0.42 eV/atom

abc: 8.849 8.849 8.849
angles: 33.21 33.21 33.21
Sites, in units of the cell vectors:
Er1 0.121 0.121 0.121
Er2 0.372 0.372 0.372
Er3 0.628 0.628 0.628
Er4 0.879 0.879 0.879
Zn1 0.000 0.000 0.000
Zn2 0.254 0.254 0.254
Zn3 0.746 0.746 0.746
Sn1 0.500 0.500 0.500

Here is a relaxed structure of ErZnSn from the Alexandria database. Energies are from GGA-PBE.

Results
crystal system: monoclinic
magnetization: 0.00 μB per formula unit
calculated volume: 23.48 A^3/atom
calculated formation energy: -0.44 eV/atom

abc: 8.299 8.299 4.183
angles: 104.12 104.12 30.37
Sites, in units of the cell vectors:
Er1 0.000 0.000 0.000
Er2 0.223 0.223 0.722
Zn1 0.561 0.561 0.564
Zn2 0.825 0.825 0.131
Sn1 0.395 0.395 0.456
Sn2 0.659 0.659 0.160

Here is a relaxed structure of ErZnSn from the Alexandria database. Energies are from GGA-PBE.

Results
crystal system: orthorhombic
magnetization: 0.00 μB per formula unit
calculated volume: 23.80 A^3/atom
calculated formation energy: -0.30 eV/atom

abc: 4.975 4.975 6.148
angles: 90.00 90.00 110.22
Sites, in units of the cell vectors:
Er1 0.163 0.837 0.750
Er2 0.837 0.163 0.250
Zn1 0.500 0.500 0.000
Zn2 0.500 0.500 0.500
Sn1 0.209 0.791 0.250
Sn2 0.791 0.209 0.750

Here is a relaxed structure of ErZnSn from the Alexandria database. Energies are from GGA-PBE.

Results
crystal system: hexagonal
magnetization: 0.00 μB per formula unit
calculated volume: 22.83 A^3/atom
calculated formation energy: -0.55 eV/atom

abc: 4.490 4.490 15.698
angles: 90.00 90.00 120.00
Sites, in units of the cell vectors:
Er1 0.000 0.000 0.000
Er2 0.000 0.000 0.250
Er3 0.000 0.000 0.500
Er4 0.000 0.000 0.750
Zn1 0.333 0.667 0.161
Zn2 0.333 0.667 0.339
Zn3 0.667 0.333 0.661
Zn4 0.667 0.333 0.839
Sn1 0.333 0.667 0.613
Sn2 0.333 0.667 0.887
Sn3 0.667 0.333 0.113
Sn4 0.667 0.333 0.387

Here is a relaxed structure of Er2ZnSn from the Alexandria database. Energies are from GGA-PBE.

Results
crystal system: trigonal
magnetization: 0.00 μB per formula unit
calculated volume: 27.70 A^3/atom
calculated formation energy: -0.02 eV/atom

abc: 10.902 10.902 10.902
angles: 18.23 18.23 18.23
Sites, in units of the cell vectors:
Er1 0.097 0.097 0.097
Er2 0.903 0.903 0.903
Zn1 0.500 0.500 0.500
Sn1 0.000 0.000 0.000

Here is a relaxed structure of ErZnSn from the Alexandria database. Energies are from GGA-PBE.

Results
crystal system: hexagonal
magnetization: 0.00 μB per formula unit
calculated volume: 22.12 A^3/atom
calculated formation energy: -0.50 eV/atom

abc: 4.682 4.682 6.993
angles: 90.00 90.00 120.00
Sites, in units of the cell vectors:
Er1 0.000 0.000 0.000
Er2 0.000 0.000 0.500
Zn1 0.333 0.667 0.250
Zn2 0.667 0.333 0.750
Sn1 0.333 0.667 0.750
Sn2 0.667 0.333 0.250

Here is a relaxed structure of ErZnSn3 from the Alexandria database. Energies are from GGA-PBE.

Results
crystal system: orthorhombic
magnetization: 0.00 μB per formula unit
calculated volume: 24.05 A^3/atom
calculated formation energy: -0.31 eV/atom

abc: 12.521 6.220 6.177
angles: 90.00 90.00 90.00
Sites, in units of the cell vectors:
Er1 0.194 0.011 0.250
Er2 0.194 0.489 0.750
Er3 0.806 0.511 0.250
Er4 0.806 0.989 0.750
Zn1 0.378 0.250 0.000
Zn2 0.378 0.250 0.500
Zn3 0.622 0.750 0.000
Zn4 0.622 0.750 0.500
Sn1 0.001 0.750 0.000
Sn2 0.001 0.750 0.500
Sn3 0.244 0.520 0.250
Sn4 0.244 0.980 0.750
Sn5 0.436 0.652 0.750
Sn6 0.436 0.848 0.250
Sn7 0.564 0.152 0.750
Sn8 0.564 0.348 0.250
Sn9 0.756 0.020 0.250
Sn10 0.756 0.480 0.750
Sn11 0.999 0.250 0.000
Sn12 0.999 0.250 0.500

Here is a relaxed structure of Er2Zn2Sn from the Alexandria database. Energies are from GGA-PBE.

Results
crystal system: orthorhombic
magnetization: 0.02 μB per formula unit
calculated volume: 22.39 A^3/atom
calculated formation energy: -0.41 eV/atom

abc: 5.781 5.781 5.781
angles: 137.16 118.86 77.54
Sites, in units of the cell vectors:
Er1 0.213 0.213 0.000
Er2 0.787 0.787 0.000
Zn1 0.207 0.500 0.707
Zn2 0.793 0.500 0.293
Sn1 0.500 0.000 0.500

Here is a relaxed structure of Er5Zn2Sn from the Alexandria database. Energies are from GGA-PBE.

Results
crystal system: tetragonal
magnetization: 0.00 μB per formula unit
calculated volume: 25.58 A^3/atom
calculated formation energy: -0.40 eV/atom

abc: 8.541 8.541 8.541
angles: 124.19 124.19 82.89
Sites, in units of the cell vectors:
Er1 0.000 0.000 0.000
Er2 0.009 0.509 0.810
Er3 0.199 0.009 0.500
Er4 0.301 0.801 0.810
Er5 0.491 0.301 0.500
Er6 0.500 0.500 0.000
Er7 0.509 0.699 0.500
Er8 0.699 0.199 0.190
Er9 0.801 0.991 0.500
Er10 0.991 0.491 0.190
Zn1 0.135 0.365 0.500
Zn2 0.365 0.865 0.230
Zn3 0.635 0.135 0.770
Zn4 0.865 0.635 0.500
Sn1 0.250 0.250 0.000
Sn2 0.750 0.750 0.000

Here is a relaxed structure of ErZnSn from the Alexandria database. Energies are from GGA-PBE.

Results
crystal system: trigonal
magnetization: 0.00 μB per formula unit
calculated volume: 22.78 A^3/atom
calculated formation energy: -0.47 eV/atom

abc: 4.503 4.503 3.892
angles: 90.00 90.00 120.00
Sites, in units of the cell vectors:
Er1 0.000 0.000 0.000
Zn1 0.667 0.333 0.604
Sn1 0.333 0.667 0.464

Here is a relaxed structure of ErZn2Sn2 from the Alexandria database. Energies are from GGA-PBE.

Results
crystal system: orthorhombic
magnetization: 0.00 μB per formula unit
calculated volume: 21.35 A^3/atom
calculated formation energy: -0.33 eV/atom

abc: 11.439 11.439 4.365
angles: 90.00 90.00 158.05
Sites, in units of the cell vectors:
Er1 0.140 0.860 0.750
Er2 0.860 0.140 0.250
Zn1 0.032 0.968 0.250
Zn2 0.462 0.538 0.250
Zn3 0.538 0.462 0.750
Zn4 0.968 0.032 0.750
Sn1 0.251 0.749 0.250
Sn2 0.380 0.620 0.750
Sn3 0.620 0.380 0.250
Sn4 0.749 0.251 0.750

Here is a relaxed structure of ErZrSn2 from the Alexandria database. Energies are from GGA-PBE.

Results
crystal system: tetragonal
magnetization: 0.00 μB per formula unit
calculated volume: 23.92 A^3/atom
calculated formation energy: -0.46 eV/atom
excess energy over the best structure of this formula in the dataset: 0.001 eV per atom

abc: 4.676 4.676 4.376
angles: 90.00 90.00 90.00
Sites, in units of the cell vectors:
Er1 0.000 0.000 0.000
Zr1 0.500 0.500 0.000
Sn1 0.000 0.500 0.500
Sn2 0.500 0.000 0.500

Here is a relaxed structure of ErZrSn2 from the Alexandria database. Energies are from GGA-PBE.

Results
crystal system: trigonal
magnetization: 0.00 μB per formula unit
calculated volume: 24.83 A^3/atom
calculated formation energy: -0.36 eV/atom
excess energy over the best structure of this formula in the dataset: 0.096 eV per atom

abc: 10.160 10.160 10.160
angles: 19.22 19.22 19.22
Sites, in units of the cell vectors:
Er1 0.000 0.000 0.000
Zr1 0.500 0.500 0.500
Sn1 0.247 0.247 0.247
Sn2 0.753 0.753 0.753

Here is a relaxed structure of ErZrSn from the Alexandria database. Energies are from GGA-PBE.

Results
crystal system: trigonal
magnetization: 0.00 μB per formula unit
calculated volume: 24.00 A^3/atom
calculated formation energy: -0.05 eV/atom
excess energy over the best structure of this formula in the dataset: 0.540 eV per atom

abc: 5.141 5.141 3.146
angles: 90.00 90.00 120.00
Sites, in units of the cell vectors:
Er1 0.000 0.000 0.000
Zr1 0.667 0.333 0.928
Sn1 0.333 0.667 0.503

Here is a relaxed structure of ErZrSn2 from the Alexandria database. Energies are from GGA-PBE.

Results
crystal system: tetragonal
magnetization: 0.00 μB per formula unit
calculated volume: 24.43 A^3/atom
calculated formation energy: -0.46 eV/atom
excess energy over the best structure of this formula in the dataset: 0.000 eV per atom

abc: 3.890 3.890 6.457
angles: 90.00 90.00 90.00
Sites, in units of the cell vectors:
Er1 0.000 0.000 0.000
Zr1 0.000 0.000 0.500
Sn1 0.500 0.500 0.268
Sn2 0.500 0.500 0.732

Here is a relaxed structure of ErZrSn from the Alexandria database. Energies are from GGA-PBE.

Results
crystal system: tetragonal
magnetization: 0.00 μB per formula unit
calculated volume: 25.87 A^3/atom
calculated formation energy: -0.59 eV/atom
excess energy over the best structure of this formula in the dataset: 0.000 eV per atom

abc: 4.361 4.361 8.160
angles: 90.00 90.00 90.00
Sites, in units of the cell vectors:
Er1 0.250 0.250 0.161
Er2 0.750 0.750 0.839
Zr1 0.250 0.750 0.500
Zr2 0.750 0.250 0.500
Sn1 0.250 0.250 0.770
Sn2 0.750 0.750 0.230

Here is a relaxed structure of ErZrSn from the Alexandria database. Energies are from GGA-PBE.

Results
crystal system: orthorhombic
magnetization: 0.83 μB per formula unit
calculated volume: 28.12 A^3/atom
calculated formation energy: 0.06 eV/atom
excess energy over the best structure of this formula in the dataset: 0.651 eV per atom

abc: 10.496 8.957 7.087
angles: 80.81 57.39 41.80
Sites, in units of the cell vectors:
Er1 0.070 0.070 0.680
Er2 0.320 0.320 0.930
Er3 0.680 0.680 0.070
Er4 0.930 0.930 0.320
Zr1 0.000 0.500 0.500
Zr2 0.500 0.000 0.500
Zr3 0.500 0.500 0.000
Zr4 0.500 0.500 0.500
Sn1 0.104 0.646 0.646
Sn2 0.354 0.896 0.896
Sn3 0.646 0.104 0.104
Sn4 0.896 0.354 0.354